Density functional theory data (PBE) for crystalline Tl2SbOs at its relaxed geometry.

Cell: 5.052 5.052 5.052 Å, 60.00 60.00 60.00°
Sites, in units of the cell vectors:
Tl  0.250  0.250  0.250
Tl  0.750  0.750  0.750
Sb  0.000  0.000  0.000
Os  0.500  0.500  0.500

energy relative to the lowest polymorph listed for this composition = 0.697 eV per atom
uncorrected formation energy = 1.034 eV/atom
symmetry = Fm-3m
density of states at the Fermi level = 4.2 states/eV per cell